Entry 1:
# La5Sn2I2 | Alexandria via LeMat-Bulk | PBE | relaxed
data_La5Sn2I2
_symmetry_space_group_name_H-M 'C m c e'
_symmetry_Int_Tables_number 64
_symmetry_space_group_name_Hall '-C 2ac 2'
_cell_length_a 16.381
_cell_length_b 8.577
_cell_length_c 8.545
_cell_angle_alpha 90.00
_cell_angle_beta 90.00
_cell_angle_gamma 90.00
loop_
_atom_site_label
_atom_site_type_symbol
_atom_site_fract_x
_atom_site_fract_y
_atom_site_fract_z
La1 La 0.000 0.000 0.000
La2 La 0.132 0.166 0.336
Sn1 Sn 0.000 0.134 0.634
I1 I 0.200 0.000 0.000
# - Formation energy (no corrections): -0.86 eV/atom

---

Entry 2:
# Ti3AlH2 | Alexandria via LeMat-Bulk | PBE | relaxed
data_Ti3AlH2
_symmetry_space_group_name_H-M 'I 4/m m m'
_symmetry_Int_Tables_number 139
_symmetry_space_group_name_Hall '-I 4 2'
_cell_length_a 3.968
_cell_length_b 3.968
_cell_length_c 8.857
_cell_angle_alpha 90.00
_cell_angle_beta 90.00
_cell_angle_gamma 90.00
loop_
_atom_site_label
_atom_site_type_symbol
_atom_site_fract_x
_atom_site_fract_y
_atom_site_fract_z
Ti1 Ti 0.000 0.000 0.000
Ti2 Ti 0.000 0.500 0.250
Al1 Al 0.000 0.000 0.500
H1 H 0.000 0.000 0.212
# - E above lowest polymorph: 0 meV per atom

---

Entry 3:
# CaNb2AsCl | Alexandria via LeMat-Bulk | PBE | relaxed
data_CaNb2AsCl
_symmetry_space_group_name_H-M 'P 4/m m m'
_symmetry_Int_Tables_number 123
_symmetry_space_group_name_Hall '-P 4 2'
_cell_length_a 4.807
_cell_length_b 4.807
_cell_length_c 6.500
_cell_angle_alpha 90.00
_cell_angle_beta 90.00
_cell_angle_gamma 90.00
loop_
_atom_site_label
_atom_site_type_symbol
_atom_site_fract_x
_atom_site_fract_y
_atom_site_fract_z
Ca1 Ca 0.000 0.000 0.000
Nb1 Nb 0.000 0.500 0.500
As1 As 0.500 0.500 0.500
Cl1 Cl 0.500 0.500 0.000
# - E above lowest polymorph: 0 meV per atom
# - Formation energy (no corrections): 0.47 eV/atom

---

Entry 4:
# CaPd5Au2 | Alexandria via LeMat-Bulk | PBE | relaxed
data_CaPd5Au2
_symmetry_space_group_name_H-M 'I m m m'
_symmetry_Int_Tables_number 71
_symmetry_space_group_name_Hall '-I 2 2'
_cell_length_a 2.903
_cell_length_b 8.859
_cell_length_c 10.835
_cell_angle_alpha 90.00
_cell_angle_beta 90.00
_cell_angle_gamma 90.00
loop_
_atom_site_label
_atom_site_type_symbol
_atom_site_fract_x
_atom_site_fract_y
_atom_site_fract_z
Ca1 Ca 0.000 0.000 0.000
Pd1 Pd 0.000 0.227 0.371
Pd2 Pd 0.000 0.500 0.000
Au1 Au 0.000 0.500 0.255
# - Formation energy from the elements: -170 kJ/mol of formula units

---

Entry 5:
# Th8Tc2Ru | Alexandria via LeMat-Bulk | PBE | relaxed
data_Th8Tc2Ru
_symmetry_space_group_name_H-M 'C 1 m 1'
_symmetry_Int_Tables_number 8
_cell_length_a 8.097
_cell_length_b 13.309
_cell_length_c 6.297
_cell_angle_alpha 90.00
_cell_angle_beta 112.96
_cell_angle_gamma 90.00
loop_
_symmetry_equiv_pos_as_xyz
'x,y,z'
'x,-y,z'
'x+1/2,y+1/2,z'
'x+1/2,-y+1/2,z'
loop_
_atom_site_label
_atom_site_type_symbol
_atom_site_fract_x
_atom_site_fract_y
_atom_site_fract_z
Th1 Th 0.000 0.000 0.000
Th2 Th 0.085 0.369 0.791
Th3 Th 0.129 0.126 0.561
Th4 Th 0.201 0.500 0.360
Th5 Th 0.340 0.205 0.177
Tc1 Tc 0.365 0.307 0.674
Ru1 Ru 0.363 0.000 0.397
# - Formation energy from the elements: -66 kJ/mol of formula units

---

Entry 6:
# K2ZrOs | Alexandria via LeMat-Bulk | PBE | relaxed
data_K2ZrOs
_symmetry_space_group_name_H-M 'P 4/m m m'
_symmetry_Int_Tables_number 123
_symmetry_space_group_name_Hall '-P 4 2'
_cell_length_a 2.849
_cell_length_b 2.849
_cell_length_c 12.536
_cell_angle_alpha 90.00
_cell_angle_beta 90.00
_cell_angle_gamma 90.00
loop_
_atom_site_label
_atom_site_type_symbol
_atom_site_fract_x
_atom_site_fract_y
_atom_site_fract_z
K1 K 0.000 0.000 0.215
Zr1 Zr 0.500 0.500 0.500
Os1 Os 0.500 0.500 0.000
# - Formation energy from the elements: 497 kJ/mol of formula units
# - E above lowest polymorph: 866 meV per atom